[1]
Entry from the Alexandria database: Ga2PRuS after structural relaxation (GGA-PBE).

As for the raw total energy: -4.22 eV per atom. The value obtained for the density of states at the Fermi level is 4.09 states/eV/cell. As for the magnetic moment: 0.000 μB per atom. The uncorrected formation energy is 0.7547 eV per atom.

It has space group P4/mmm (No. 123), with a = 4.697 Å, b = 4.697 Å, c = 4.365 Å, α = 90.00°, β = 90.00° and γ = 90.00°. The asymmetric unit holds Ga at (0.000, 0.500, 0.000), P at (0.000, 0.000, 0.500), Ru at (0.500, 0.500, 0.500) and S at (0.500, 0.500, 0.000).

=====

[2]
Entry from the Alexandria database: La2MoBr after structural relaxation (GGA-PBE).

As for the raw total energy: -5.33 eV per atom. The calculation puts the energy above the lowest structure with this stoichiometry at 629 meV/atom. The value obtained for the density of states at the Fermi level is 11.52 states/eV/cell. As for the magnetic moment: 0.370 μB per atom. The uncorrected formation energy is 0.2582 eV per atom.

It has space group R3m (No. 160, hexagonal axes), with a = 3.5968 Å, b = 3.5968 Å, c = 30.0492 Å, α = 90.00°, β = 90.00° and γ = 120.00°. The asymmetric unit holds La at (0.0000, 0.0000, 0.0000), La at (0.0000, 0.0000, 0.2315), Mo at (0.0000, 0.0000, 0.7373) and Br at (0.0000, 0.0000, 0.4886).

=====

Q: Look up the raw total energy of the first one.
A: -4.22 eV per atom